(1)
# Na2Cd2H4Ir PBE relaxed
data_Na2Cd2H4Ir
_cell_length_a 5.804
_cell_length_b 5.804
_cell_length_c 5.804
_cell_angle_alpha 117.20
_cell_angle_beta 117.20
_cell_angle_gamma 94.92
_space_group_name_H-M_alt 'P 1'
_space_group_IT_number 1
loop_
_space_group_symop_operation_xyz
'x,y,z'
loop_
_atom_site_label
_atom_site_type_symbol
_atom_site_fract_x
_atom_site_fract_y
_atom_site_fract_z
Na1 Na 0.250 0.750 0.500
Na2 Na 0.750 0.250 0.500
Cd1 Cd 0.170 0.170 0.000
Cd2 Cd 0.830 0.830 0.000
H1 H 0.302 0.302 0.604
H2 H 0.302 0.698 0.000
H3 H 0.698 0.302 0.000
H4 H 0.698 0.698 0.396
Ir1 Ir 0.500 0.500 0.000
# Crystal system: tetragonal
# Calculated total energy, eV/atom: -3.032

---

(2)
# FeTePb2N PBE relaxed
data_FeTePb2N
_cell_length_a 5.597
_cell_length_b 5.597
_cell_length_c 3.725
_cell_angle_alpha 90.00
_cell_angle_beta 90.00
_cell_angle_gamma 90.00
_space_group_name_H-M_alt 'P 1'
_space_group_IT_number 1
loop_
_space_group_symop_operation_xyz
'x,y,z'
loop_
_atom_site_label
_atom_site_type_symbol
_atom_site_fract_x
_atom_site_fract_y
_atom_site_fract_z
Fe1 Fe 0.000 0.000 0.000
Te1 Te 0.500 0.500 0.000
Pb1 Pb 0.000 0.500 0.500
Pb2 Pb 0.500 0.000 0.500
N1 N 0.000 0.000 0.500
# Formation energy from raw total energies, eV/atom: 0.25
# Crystal system: tetragonal